# 1
{
  "formula": "Pm2DySn2Hg2",
  "functional": "GGA-PBE",
  "state": "optimized geometry",
  "ef_ev_per_atom": -0.325,
  "e_tot_ev_per_fu": -24.99,
  "crystal_system": "trigonal",
  "lattice": [[2.4991, 1.4428, 9.0902], [-2.4991, 1.4428, 9.0902], [0.0000, -2.8857, 9.0902]],
  "species": ["Pm", "Pm", "Dy", "Sn", "Sn", "Hg", "Hg"],
  "fractional_positions": [[0.1296, 0.1296, 0.1296], [0.8704, 0.8704, 0.8704], [0.0000, 0.0000, 0.0000], [0.2740, 0.2740, 0.2740], [0.7260, 0.7260, 0.7260], [0.4269, 0.4269, 0.4269], [0.5731, 0.5731, 0.5731]]
}

---

# 2
{
  "formula": "TbPmDy2Hg4",
  "functional": "GGA-PBE",
  "state": "optimized geometry",
  "ef_ev_per_atom": -0.475,
  "e_tot_ev_per_fu": -23.59,
  "crystal_system": "trigonal",
  "lattice": [[2.6496, 1.5297, 8.6742], [-2.6496, 1.5297, 8.6742], [0.0000, -3.0595, 8.6742]],
  "species": ["Tb", "Pm", "Dy", "Dy", "Hg", "Hg", "Hg", "Hg"],
  "fractional_positions": [[0.0000, 0.0000, 0.0000], [0.5000, 0.5000, 0.5000], [0.2503, 0.2503, 0.2503], [0.7497, 0.7497, 0.7497], [0.1234, 0.1234, 0.1234], [0.3737, 0.3737, 0.3737], [0.6263, 0.6263, 0.6263], [0.8766, 0.8766, 0.8766]]
}

---

# 3
{
  "formula": "Tb2PmDyHg4",
  "functional": "GGA-PBE",
  "state": "optimized geometry",
  "ef_ev_per_atom": -0.476,
  "e_tot_ev_per_fu": -23.62,
  "crystal_system": "trigonal",
  "lattice": [[2.6509, 1.5305, 8.6896], [-2.6509, 1.5305, 8.6896], [0.0000, -3.0609, 8.6896]],
  "species": ["Tb", "Tb", "Pm", "Dy", "Hg", "Hg", "Hg", "Hg"],
  "fractional_positions": [[0.2503, 0.2503, 0.2503], [0.7497, 0.7497, 0.7497], [0.5000, 0.5000, 0.5000], [0.0000, 0.0000, 0.0000], [0.1232, 0.1232, 0.1232], [0.3736, 0.3736, 0.3736], [0.6264, 0.6264, 0.6264], [0.8768, 0.8768, 0.8768]]
}